1.
Below is a relaxed PmZnGa3 crystal, with properties calculated at the PBE level.

It has space group Cmcm (No. 63), with a = 4.197 Å, b = 23.235 Å, c = 4.220 Å, α = 90.00°, β = 90.00° and γ = 90.00°. Symmetry generates all atoms from Pm at (0.000, 0.080, 0.250), Zn at (0.000, 0.196, 0.750), Ga at (0.000, 0.303, 0.750), Ga at (0.000, 0.367, 0.250) and Ga at (0.000, 0.473, 0.250).

For the formation enthalpy at 0 K, the calculation gives -0.41 eV/atom. The calculation puts the volume at 412 Å³/cell. As for the relative energy among the computed polymorphs: 0.053 eV per atom. The density of states at the Fermi level comes out at 0.47 states/eV/atom.

=====

2.
Below is a relaxed K2InH4 crystal, with properties calculated at the PBE level.

It has space group P2_1/m (No. 11), with a = 5.949 Å, b = 5.642 Å, c = 8.379 Å, α = 90.00°, β = 90.55° and γ = 90.00°. Symmetry generates all atoms from K at (0.214, 0.250, 0.010), K at (0.218, 0.250, 0.491), In at (0.289, 0.750, 0.751), H at (0.078, 0.508, 0.750), H at (0.326, 0.750, 0.520) and H at (0.329, 0.750, 0.984).

The calculation puts the volume at 281 Å³/cell. As for the relative energy among the computed polymorphs: 0.028 eV per atom. The density of states at the Fermi level comes out at 0.18 states/eV/atom.

=====

3.
Below is a relaxed Ac3Ge3Pd8 crystal, with properties calculated at the PBE level.

It has space group C2/m (No. 12), with a = 16.495 Å, b = 4.505 Å, c = 9.199 Å, α = 90.00°, β = 122.66° and γ = 90.00°. Symmetry generates all atoms from Ac at (0.000, 0.000, 0.000), Ac at (0.207, 0.500, 0.672), Ge at (0.000, 0.000, 0.500), Ge at (0.169, 0.500, 0.998), Pd at (0.008, 0.500, 0.680), Pd at (0.112, 0.000, 0.392), Pd at (0.135, 0.000, 0.842) and Pd at (0.145, 0.500, 0.250).

For the formation enthalpy at 0 K, the calculation gives -0.77 eV/atom. The calculation puts the volume at 576 Å³/cell. The density of states at the Fermi level comes out at 0.52 states/eV/atom.

=====

4.
Below is a relaxed SrTm2Al crystal, with properties calculated at the PBE level.

It has space group P4/mmm (No. 123), with a = 3.608 Å, b = 3.608 Å, c = 9.519 Å, α = 90.00°, β = 90.00° and γ = 90.00°. Symmetry generates all atoms from Sr at (0.000, 0.000, 0.000), Tm at (0.500, 0.500, 0.316) and Al at (0.000, 0.000, 0.500).

For the formation enthalpy at 0 K, the calculation gives -0.09 eV/atom. The calculation puts the volume at 124 Å³/cell. As for the relative energy among the computed polymorphs: 0.000 eV per atom. The density of states at the Fermi level comes out at 0.74 states/eV/atom.

=====

5.
Below is a relaxed K3P2H4 crystal, with properties calculated at the PBE level.

It has space group P-1 (No. 2), with a = 4.205 Å, b = 5.485 Å, c = 10.239 Å, α = 97.56°, β = 94.06° and γ = 90.34°. Symmetry generates all atoms from K at (0.000, 0.000, 0.000), K at (0.288, 0.654, 0.340), P at (0.225, 0.854, 0.664), H at (0.100, 0.153, 0.302) and H at (0.341, 0.767, 0.785).

The calculation puts the volume at 234 Å³/cell. The calculation puts the energy at -29.5 eV per cell. The density of states at the Fermi level comes out at 0.22 states/eV/atom.

=====

6.
Below is a relaxed KIn2Ru crystal, with properties calculated at the PBE level.

It has space group R-3m (No. 166, hexagonal axes), with a = 3.3527 Å, b = 3.3527 Å, c = 30.2954 Å, α = 90.00°, β = 90.00° and γ = 120.00°. Symmetry generates all atoms from K at (0.0000, 0.0000, 0.0000), In at (0.0000, 0.0000, 0.2321) and Ru at (0.0000, 0.0000, 0.5000).

For the formation enthalpy at 0 K, the calculation gives 0.26 eV/atom. The calculation puts the volume at 295 Å³/cell. As for the relative energy among the computed polymorphs: 0.159 eV per atom. The density of states at the Fermi level comes out at 0.41 states/eV/atom.